# 1
A relaxed structure of PaNbSb3. Source: Alexandria, functional PBE.

The formation energy from raw total energies comes out at -0.3679 eV/atom. The total magnetization is 0.6 μB per formula unit. As for the space group: No. 57. As for the mass density: 9.1 g/cm3. As for the total energy: -6.754 eV per atom.

Unit cell a=12.608 b=6.460 c=6.147 alpha=90.00 beta=90.00 gamma=90.00
Fractional coordinates of all 20 atoms:
Pa 0.192 0.004 0.250
Pa 0.192 0.496 0.750
Pa 0.808 0.504 0.250
Pa 0.808 0.996 0.750
Nb 0.387 0.250 0.000
Nb 0.387 0.250 0.500
Nb 0.613 0.750 0.000
Nb 0.613 0.750 0.500
Sb 0.003 0.250 0.000
Sb 0.003 0.250 0.500
Sb 0.258 0.523 0.250
Sb 0.258 0.977 0.750
Sb 0.434 0.610 0.750
Sb 0.434 0.890 0.250
Sb 0.566 0.110 0.750
Sb 0.566 0.390 0.250
Sb 0.742 0.023 0.250
Sb 0.742 0.477 0.750
Sb 0.997 0.750 0.000
Sb 0.997 0.750 0.500

***

# 2
A relaxed structure of PaNbSb. Source: Alexandria, functional PBE.

The formation energy from raw total energies comes out at -0.0327 eV/atom. The total magnetization is 0.0 μB per formula unit. As for the space group: No. 187. As for the mass density: 10.7 g/cm3. As for the total energy: -7.929 eV per atom.

Unit cell a=5.001 b=5.001 c=3.183 alpha=90.00 beta=90.00 gamma=120.00
Fractional coordinates of all 3 atoms:
Pa 0.000 0.000 0.000
Nb 0.333 0.667 0.500
Sb 0.667 0.333 0.500

***

# 3
A relaxed structure of PaNbSb. Source: Alexandria, functional PBE.

The formation energy from raw total energies comes out at -0.3393 eV/atom. The total magnetization is 0.0 μB per formula unit. As for the space group: No. 139. As for the mass density: 10.2 g/cm3. As for the total energy: -8.235 eV per atom.

Unit cell a=4.426 b=4.426 c=14.768 alpha=90.00 beta=90.00 gamma=90.00
Fractional coordinates of all 12 atoms:
Pa 0.000 0.000 0.147
Pa 0.000 0.000 0.853
Pa 0.500 0.500 0.353
Pa 0.500 0.500 0.647
Nb 0.000 0.500 0.000
Nb 0.000 0.500 0.500
Nb 0.500 0.000 0.000
Nb 0.500 0.000 0.500
Sb 0.000 0.000 0.365
Sb 0.000 0.000 0.635
Sb 0.500 0.500 0.135
Sb 0.500 0.500 0.865

***

# 4
A relaxed structure of PaNbSb2. Source: Alexandria, functional PBE.

The formation energy from raw total energies comes out at -0.2152 eV/atom. The total magnetization is 0.0 μB per formula unit. As for the space group: No. 6. As for the mass density: 9.8 g/cm3. As for the total energy: -7.168 eV per atom.

Unit cell a=3.647 b=3.699 c=7.389 alpha=90.00 beta=104.24 gamma=90.00
Fractional coordinates of all 4 atoms:
Pa 0.000 0.000 0.000
Nb 0.231 0.000 0.467
Sb 0.380 0.500 0.759
Sb 0.643 0.500 0.289

***

# 5
A relaxed structure of PaNbSb. Source: Alexandria, functional PBE.

The formation energy from raw total energies comes out at -0.0682 eV/atom. The total magnetization is 0.0 μB per formula unit. As for the space group: No. 59. As for the mass density: 10.1 g/cm3. As for the total energy: -7.964 eV per atom.

Unit cell a=5.804 b=6.247 c=8.064 alpha=90.00 beta=90.00 gamma=90.00
Fractional coordinates of all 12 atoms:
Pa 0.250 0.250 0.011
Pa 0.250 0.750 0.641
Pa 0.750 0.250 0.359
Pa 0.750 0.750 0.989
Nb 0.250 0.007 0.322
Nb 0.250 0.493 0.322
Nb 0.750 0.507 0.678
Nb 0.750 0.993 0.678
Sb 0.250 0.250 0.623
Sb 0.250 0.750 0.029
Sb 0.750 0.250 0.971
Sb 0.750 0.750 0.377

***

# 6
A relaxed structure of PaNbSb2. Source: Alexandria, functional PBE.

The formation energy from raw total energies comes out at 0.2341 eV/atom. The total magnetization is 0.0 μB per formula unit. As for the space group: No. 166. As for the mass density: 9.7 g/cm3. As for the total energy: -6.718 eV per atom.

Unit cell a=3.181 b=3.181 c=33.323 alpha=90.00 beta=90.00 gamma=120.00
Fractional coordinates of all 12 atoms:
Pa 0.000 0.000 0.000
Pa 0.333 0.667 0.667
Pa 0.667 0.333 0.333
Nb 0.000 0.000 0.500
Nb 0.333 0.667 0.167
Nb 0.667 0.333 0.833
Sb 0.000 0.000 0.414
Sb 0.000 0.000 0.586
Sb 0.333 0.667 0.081
Sb 0.333 0.667 0.253
Sb 0.667 0.333 0.747
Sb 0.667 0.333 0.919

***

# 7
A relaxed structure of PaNbSbTe. Source: Alexandria, functional PBE.

The formation energy from raw total energies comes out at -0.3338 eV/atom. The total magnetization is 0.0 μB per formula unit. As for the space group: No. 216. As for the mass density: 10.3 g/cm3. As for the total energy: -7.041 eV per atom.

Unit cell a=7.178 b=7.178 c=7.178 alpha=90.00 beta=90.00 gamma=90.00
Fractional coordinates of all 16 atoms:
Pa 0.000 0.000 0.000
Pa 0.000 0.500 0.500
Pa 0.500 0.000 0.500
Pa 0.500 0.500 0.000
Nb 0.000 0.000 0.500
Nb 0.000 0.500 0.000
Nb 0.500 0.000 0.000
Nb 0.500 0.500 0.500
Sb 0.250 0.250 0.250
Sb 0.250 0.750 0.750
Sb 0.750 0.250 0.750
Sb 0.750 0.750 0.250
Te 0.250 0.250 0.750
Te 0.250 0.750 0.250
Te 0.750 0.250 0.250
Te 0.750 0.750 0.750

***

# 8
A relaxed structure of ScPaNb2. Source: Alexandria, functional PBE.

The total magnetization is 0.0 μB per formula unit. As for the space group: No. 225. As for the mass density: 9.3 g/cm3. As for the total energy: -8.907 eV per atom. The calculation puts the formation energy at 85 meV per atom.

Unit cell a=6.915 b=6.915 c=6.915 alpha=90.00 beta=90.00 gamma=90.00
Fractional coordinates of all 16 atoms:
Sc 0.000 0.000 0.000
Sc 0.000 0.500 0.500
Sc 0.500 0.000 0.500
Sc 0.500 0.500 0.000
Pa 0.000 0.000 0.500
Pa 0.000 0.500 0.000
Pa 0.500 0.000 0.000
Pa 0.500 0.500 0.500
Nb 0.250 0.250 0.250
Nb 0.250 0.250 0.750
Nb 0.250 0.750 0.250
Nb 0.250 0.750 0.750
Nb 0.750 0.250 0.250
Nb 0.750 0.250 0.750
Nb 0.750 0.750 0.250
Nb 0.750 0.750 0.750